[1]
PBE Rb2WAuCl6, optimized geometry; formation energy without anion corrections = -9.5 eV per formula unit; D(E_F) = 0.0013 states/eV/atom; volume = 29.2 Å³/atom
1.0
-0.724 -7.326 -3.168
4.301 2.321 -6.352
5.603 -3.792 -2.648
Cl Au Rb W
6 1 2 1
direct
0.717 0.283 0.000
0.244 0.244 0.512
0.283 0.283 0.000
0.717 0.717 0.000
0.756 0.756 0.488
0.283 0.717 0.000
0.000 0.000 0.000
0.250 0.750 0.500
0.750 0.250 0.500
0.500 0.500 0.000

---

[2]
PBE Rb2ZnAuCl6, optimized geometry; formation energy without anion corrections = -10.9 eV per formula unit; D(E_F) = 0.2879 states/eV/atom; volume = 25.9 Å³/atom
1.0
7.553 0.000 0.000
0.000 7.553 0.000
3.776 3.776 4.547
Rb Cl Au Zn
2 6 1 1
direct
0.250 0.750 0.500
0.750 0.250 0.500
0.264 0.264 0.000
0.736 0.264 0.000
0.251 0.251 0.499
0.749 0.749 0.501
0.264 0.736 0.000
0.736 0.736 0.000
0.000 0.000 0.000
0.500 0.500 0.000

---

[3]
PBE ReAu3Cl, optimized geometry; formation energy without anion corrections = 6.4 eV per formula unit; D(E_F) = 1.0097 states/eV/atom; polymorph energy (0 for the lowest one) = 0.000 eV/atom; volume = 25.8 Å³/atom
1.0
5.051 0.000 0.000
0.000 5.051 0.000
0.000 0.000 5.051
Au Re Cl
3 1 1
direct
0.000 0.000 0.500
0.000 0.500 0.000
0.500 0.000 0.000
0.000 0.000 0.000
0.500 0.500 0.500

---

[4]
PBE ReAu3Cl, optimized geometry; formation energy without anion corrections = 9.0 eV per formula unit; D(E_F) = 0.6892 states/eV/atom; polymorph energy (0 for the lowest one) = 0.525 eV/atom; volume = 23.4 Å³/atom
1.0
4.888 0.000 0.000
0.000 4.888 0.000
0.000 0.000 4.888
Au Cl Re
3 1 1
direct
0.500 0.000 0.000
0.000 0.500 0.000
0.000 0.000 0.500
0.000 0.000 0.000
0.500 0.500 0.500

---

[5]
PBE Re2AuCl, optimized geometry; formation energy without anion corrections = 0.8 eV per formula unit; D(E_F) = 0.7698 states/eV/atom; polymorph energy (0 for the lowest one) = 0.000 eV/atom; volume = 18.9 Å³/atom
1.0
2.929 0.000 0.000
0.000 2.983 -0.002
0.000 1.449 8.643
Au Re Cl
1 2 1
direct
0.000 0.593 0.449
0.000 0.795 0.032
0.500 0.208 0.210
0.500 0.904 0.809

---

[6]
PBE Re2AuCl, optimized geometry; formation energy without anion corrections = 5.3 eV per formula unit; D(E_F) = 0.9811 states/eV/atom; polymorph energy (0 for the lowest one) = 1.141 eV/atom; volume = 16.1 Å³/atom
1.0
4.946 0.057 0.000
-1.322 4.766 0.000
0.000 0.000 2.724
Cl Re Au
1 2 1
direct
0.000 0.500 0.500
0.500 0.500 0.000
0.000 0.000 0.000
0.500 0.000 0.500

---

[7]
PBE Re4AuCl, optimized geometry; formation energy without anion corrections = 7.3 eV per formula unit; D(E_F) = 0.9003 states/eV/atom; volume = 17.3 Å³/atom
1.0
-1.486 -4.148 -2.897
-4.266 0.329 -3.081
0.538 0.118 -5.244
Cl Re Au
1 4 1
direct
0.000 0.000 0.000
0.374 0.374 0.374
0.374 0.374 0.877
0.877 0.374 0.374
0.374 0.877 0.374
0.750 0.750 0.750

---

[8]
PBE Re2AuCl, optimized geometry; formation energy without anion corrections = 4.7 eV per formula unit; D(E_F) = 1.1045 states/eV/atom; polymorph energy (0 for the lowest one) = 0.983 eV/atom; volume = 16.6 Å³/atom
1.0
-0.849 -3.578 -4.249
4.547 3.302 0.048
2.137 -1.789 0.180
Re Cl Au
2 1 1
direct
0.000 0.000 0.000
0.500 0.500 0.000
0.000 0.500 0.500
0.500 0.000 0.500

---

[9]
PBE Re2AuCl, optimized geometry; formation energy without anion corrections = 4.5 eV per formula unit; D(E_F) = 1.2804 states/eV/atom; polymorph energy (0 for the lowest one) = 0.923 eV/atom; volume = 16.6 Å³/atom
1.0
-0.355 0.066 2.751
0.087 -4.956 0.130
4.780 0.100 0.615
Re Au Cl
2 1 1
direct
0.000 0.000 0.000
0.500 0.500 0.000
0.500 0.000 0.500
0.000 0.500 0.500

---

[10]
PBE Re2AuCl, optimized geometry; formation energy without anion corrections = 4.9 eV per formula unit; D(E_F) = 0.6392 states/eV/atom; polymorph energy (0 for the lowest one) = 1.042 eV/atom; volume = 18.6 Å³/atom
1.0
-2.886 2.451 -1.706
-2.772 -1.315 2.799
-0.524 6.961 5.831
Cl Re Au
2 4 2
direct
0.500 0.500 0.000
0.250 0.750 0.500
0.209 0.625 0.250
0.541 0.125 0.250
0.875 0.791 0.750
0.375 0.459 0.750
0.000 0.000 0.000
0.750 0.250 0.500

---

[11]
PBE Re2AuCl, optimized geometry; formation energy without anion corrections = 3.8 eV per formula unit; D(E_F) = 0.8264 states/eV/atom; polymorph energy (0 for the lowest one) = 0.767 eV/atom; volume = 17.7 Å³/atom
1.0
3.919 0.000 0.000
0.000 2.941 -0.007
0.000 0.014 6.155
Au Cl Re
1 1 2
direct
0.500 0.250 0.250
0.500 0.750 0.750
0.000 0.750 0.052
0.000 0.750 0.448

---

[12]
PBE Re2AuCl, optimized geometry; formation energy without anion corrections = 6.2 eV per formula unit; D(E_F) = 1.5368 states/eV/atom; polymorph energy (0 for the lowest one) = 1.348 eV/atom; volume = 16.5 Å³/atom
1.0
-3.341 -2.345 -1.270
-0.036 -1.833 3.479
-2.453 2.730 1.412
Cl Au Re
1 1 2
direct
0.500 0.000 0.500
0.500 0.500 0.000
0.000 0.500 0.500
0.000 0.000 0.000

---

[13]
PBE ReAu4Cl, optimized geometry; formation energy without anion corrections = 5.0 eV per formula unit; D(E_F) = 0.6246 states/eV/atom; volume = 20.1 Å³/atom
1.0
0.953 -5.339 -1.138
1.054 -3.564 4.111
-3.755 -3.839 1.370
Re Au Cl
1 4 1
direct
0.000 0.000 0.000
0.375 0.875 0.375
0.375 0.375 0.375
0.375 0.375 0.875
0.875 0.375 0.375
0.750 0.750 0.750

---

[14]
PBE Re2AuCl, optimized geometry; formation energy without anion corrections = 1.1 eV per formula unit; D(E_F) = 0.3702 states/eV/atom; polymorph energy (0 for the lowest one) = 0.077 eV/atom; volume = 17.3 Å³/atom
1.0
-5.215 0.279 8.257
-2.863 -1.033 9.284
-2.957 1.844 9.128
Re Au Cl
2 1 1
direct
0.998 0.998 0.998
0.261 0.261 0.261
0.509 0.509 0.509
0.732 0.732 0.732

---

[15]
PBE Re2AuCl, optimized geometry; formation energy without anion corrections = 5.0 eV per formula unit; D(E_F) = 1.0848 states/eV/atom; polymorph energy (0 for the lowest one) = 1.045 eV/atom; volume = 15.2 Å³/atom
1.0
-1.931 1.074 2.093
-1.622 -2.569 -0.178
3.676 -2.649 4.752
Au Re Cl
1 2 1
direct
0.500 0.500 0.250
0.000 0.000 0.527
0.000 0.000 0.973
0.500 0.500 0.750

---

[16]
PBE Re2AuCl, optimized geometry; formation energy without anion corrections = 3.8 eV per formula unit; D(E_F) = 1.1484 states/eV/atom; polymorph energy (0 for the lowest one) = 0.756 eV/atom; volume = 16.2 Å³/atom
1.0
-1.949 0.541 -1.997
2.279 -1.612 -0.536
-4.818 -7.683 2.622
Re Cl Au
2 1 1
direct
0.000 0.000 0.513
0.000 0.000 0.987
0.500 0.500 0.750
0.500 0.500 0.250

---

[17]
PBE Re2AuCl, optimized geometry; formation energy without anion corrections = 3.0 eV per formula unit; D(E_F) = 0.7882 states/eV/atom; polymorph energy (0 for the lowest one) = 0.557 eV/atom; volume = 22.8 Å³/atom
1.0
-1.030 5.446 0.906
-2.601 4.127 2.783
2.690 5.123 5.851
Cl Re Au
1 2 1
direct
0.250 0.250 0.250
0.526 0.526 0.603
0.974 0.974 0.897
0.750 0.750 0.750

---

[18]
PBE Re2AuCl, optimized geometry; formation energy without anion corrections = 3.1 eV per formula unit; D(E_F) = 0.7855 states/eV/atom; polymorph energy (0 for the lowest one) = 0.588 eV/atom; volume = 17.4 Å³/atom
1.0
-3.522 2.354 -3.650
-4.596 -0.175 -3.180
-4.083 2.130 2.136
Au Cl Re
1 1 2
direct
0.480 0.480 0.484
0.284 0.284 0.188
0.013 0.013 0.955
0.723 0.723 0.873

---

[19]
PBE Re2AuCl, optimized geometry; formation energy without anion corrections = 2.0 eV per formula unit; D(E_F) = 0.6729 states/eV/atom; polymorph energy (0 for the lowest one) = 0.309 eV/atom; volume = 17.4 Å³/atom
1.0
-0.173 -2.658 1.035
1.750 0.498 -2.203
7.246 1.941 6.196
Re Au Cl
2 1 1
direct
0.000 0.000 0.006
0.500 0.500 0.221
0.000 0.000 0.480
0.500 0.500 0.793

---

[20]
PBE Re2AuCl, optimized geometry; formation energy without anion corrections = 4.8 eV per formula unit; D(E_F) = 1.0757 states/eV/atom; polymorph energy (0 for the lowest one) = 0.996 eV/atom; volume = 16.1 Å³/atom
1.0
-0.955 -1.121 2.337
2.494 0.278 1.153
-2.150 7.664 2.800
Cl Re Au
1 2 1
direct
0.500 0.500 0.750
0.000 0.000 0.501
0.000 0.000 0.999
0.500 0.500 0.250

---

[21]
PBE Re2AuCl, optimized geometry; formation energy without anion corrections = 5.3 eV per formula unit; D(E_F) = 1.2042 states/eV/atom; polymorph energy (0 for the lowest one) = 1.120 eV/atom; volume = 15.7 Å³/atom
1.0
1.218 -0.983 4.174
0.199 3.217 3.080
-3.008 0.127 3.288
Re Au Cl
2 1 1
direct
0.250 0.250 0.250
0.750 0.750 0.750
0.500 0.500 0.500
0.000 0.000 0.000

---

[22]
PBE Re2AuCl, optimized geometry; formation energy without anion corrections = 3.4 eV per formula unit; D(E_F) = 1.2855 states/eV/atom; polymorph energy (0 for the lowest one) = 0.660 eV/atom; volume = 15.7 Å³/atom
1.0
8.914 -0.021 -0.012
8.457 2.818 -0.012
8.457 1.362 2.467
Re Cl Au
2 1 1
direct
0.004 0.004 0.004
0.496 0.496 0.496
0.750 0.750 0.750
0.250 0.250 0.250

---

[23]
PBE Re2AuCl, optimized geometry; formation energy without anion corrections = 4.7 eV per formula unit; D(E_F) = 0.5903 states/eV/atom; polymorph energy (0 for the lowest one) = 0.972 eV/atom; volume = 16.3 Å³/atom
1.0
4.677 0.000 0.000
0.775 4.613 0.000
-2.726 -2.307 3.021
Re Au Cl
2 1 1
direct
0.250 0.750 0.500
0.000 0.000 0.000
0.500 0.500 0.000
0.750 0.250 0.500

---

[24]
PBE Re2AuCl, optimized geometry; formation energy without anion corrections = 1.2 eV per formula unit; D(E_F) = 0.8797 states/eV/atom; polymorph energy (0 for the lowest one) = 0.105 eV/atom; volume = 18.5 Å³/atom
1.0
-0.399 2.860 0.123
-0.749 0.016 -2.791
-8.455 -1.277 2.262
Re Au Cl
2 1 1
direct
0.500 0.500 0.209
0.000 0.000 0.024
0.000 0.000 0.446
0.500 0.500 0.821

---

[25]
PBE ReSiAuCl2, optimized geometry; formation energy without anion corrections = 5.0 eV per formula unit; D(E_F) = 0.1949 states/eV/atom; volume = 23.9 Å³/atom
1.0
-0.013 4.372 2.249
-4.716 0.674 -1.338
-1.489 -2.147 4.165
Cl Si Au Re
2 1 1 1
direct
0.500 0.000 0.000
0.000 0.000 0.500
0.000 0.000 0.000
0.000 0.500 0.000
0.500 0.500 0.500

---

[26]
PBE Sr2ReAuCl, optimized geometry; formation energy without anion corrections = 4.0 eV per formula unit; D(E_F) = 0.7531 states/eV/atom; volume = 36.0 Å³/atom
1.0
6.041 0.000 0.000
0.000 4.936 0.000
0.000 0.000 6.041
Sr Cl Au Re
2 1 1 1
direct
0.500 0.000 0.000
0.000 0.000 0.500
0.000 0.500 0.000
0.000 0.000 0.000
0.500 0.500 0.500

---

[27]
PBE TlRe2AuCl, optimized geometry; formation energy without anion corrections = 10.2 eV per formula unit; D(E_F) = 0.5558 states/eV/atom; volume = 30.5 Å³/atom
1.0
5.101 0.000 0.000
0.000 5.868 0.000
0.000 0.000 5.101
Re Au Tl Cl
2 1 1 1
direct
0.000 0.000 0.500
0.500 0.000 0.000
0.000 0.000 0.000
0.500 0.500 0.500
0.000 0.500 0.000

---

[28]
PBE Rh3AuCl, optimized geometry; formation energy without anion corrections = 8.3 eV per formula unit; D(E_F) = 4.0583 states/eV/atom; polymorph energy (0 for the lowest one) = 0.921 eV/atom; volume = 24.5 Å³/atom
1.0
-4.615 -0.258 1.821
0.739 -4.765 1.197
1.684 1.383 4.465
Rh Cl Au
3 1 1
direct
0.000 0.500 0.000
0.500 0.000 0.000
0.000 0.000 0.500
0.500 0.500 0.500
0.000 0.000 0.000

---

[29]
PBE RhAuCl2, optimized geometry; formation energy without anion corrections = 2.1 eV per formula unit; D(E_F) = 0.9174 states/eV/atom; polymorph energy (0 for the lowest one) = 0.631 eV/atom; volume = 18.5 Å³/atom
1.0
-0.431 -0.892 3.110
-3.812 -2.556 -1.262
2.781 -3.799 -0.704
Au Cl Rh
1 2 1
direct
0.500 0.000 0.500
0.000 0.000 0.000
0.000 0.500 0.500
0.500 0.500 0.000

---

Number 1: M_tot 0.3000 μB per atom. Number 2: M_tot 0.0000 μB per atom. Number 3: M_tot 0.0000 μB per atom. Number 4: M_tot 0.8348 μB per atom. Number 5: M_tot 0.0000 μB per atom. Number 6: M_tot 0.0000 μB per atom. Number 7: M_tot 0.0000 μB per atom. Number 8: M_tot 0.0000 μB per atom. Number 9: M_tot 0.0003 μB per atom. Number 10: M_tot 0.0000 μB per atom. Number 11: M_tot 0.0000 μB per atom. Number 12: M_tot 0.1393 μB per atom. Number 13: M_tot 0.7765 μB per atom. Number 14: M_tot 0.0000 μB per atom. Number 15: M_tot 0.0000 μB per atom. Number 16: M_tot 0.0001 μB per atom. Number 17: M_tot 0.0000 μB per atom. Number 18: M_tot 0.0000 μB per atom. Number 19: M_tot 0.0000 μB per atom. Number 20: M_tot 0.0000 μB per atom. Number 21: M_tot 0.0000 μB per atom. Number 22: M_tot 0.0000 μB per atom. Number 23: M_tot 0.0000 μB per atom. Number 24: M_tot 0.0000 μB per atom. Number 25: M_tot 1.1659 μB per atom. Number 26: M_tot 0.6933 μB per atom. Number 27: M_tot 1.6031 μB per atom. Number 28: M_tot 0.8315 μB per atom. Number 29: M_tot 0.5048 μB per atom.